(1)
First-principles (PBE) data for a relaxed Sm5InIr2 crystal, as listed in Alexandria via LeMat-Bulk.

Cell lengths 7.9390, 7.9390, 13.9058 Å; angles 90.00, 90.00, 90.00 degrees
Last column: nearest neighbours and their distance in Å.
Space group I4/mcm (No. 140)
One atom of each set of equivalent atoms:
Sm1 0.0000 0.0000 0.0000 x4  4 Ir 3.07
Sm2 0.1618 0.3382 0.1321 x16  3 Ir 2.90-3.01
In1 0.0000 0.0000 0.2500 x4  10 Sm 3.40-3.48
Ir1 0.1382 0.3618 0.5000 x8  8 Sm 2.90-3.07, 1 Ir 3.10

* E: -195.15 eV for the cell shown
* DOS(E_F): 32.2 states/eV/cell
* E_form: -0.59 eV/atom

---

(2)
First-principles (PBE) data for a relaxed Sm2In5Ir3 crystal, as listed in Alexandria via LeMat-Bulk.

Cell lengths 4.4857, 26.5870, 7.3715 Å; angles 90.00, 90.00, 90.00 degrees
Last column: nearest neighbours and their distance in Å.
Space group Cmc2_1 (No. 36)
One atom of each set of equivalent atoms:
Sm1 0.0000 0.0259 0.0000 x4  3 Ir 2.85-3.12
Sm2 0.0000 0.3236 0.1065 x4  4 Ir 3.07-3.35, 7 In 3.23-3.43
In1 0.0000 0.0976 0.3873 x4  3 Ir 2.76-2.81, 1 In 3.01
In2 0.0000 0.2067 0.9089 x4  4 Ir 2.75-2.77, 1 In 2.98
In3 0.0000 0.2087 0.3129 x4  3 Ir 2.74, 2 In 2.98-3.01
In4 0.0000 0.3737 0.5444 x4  4 Ir 2.81-3.07
In5 0.0000 0.4465 0.1702 x4  4 Ir 2.73-2.84
Ir1 0.0000 0.1112 0.7660 x4  6 In 2.75-3.07, 3 Sm 2.85-3.07
Ir2 0.0000 0.2698 0.6127 x4  7 In 2.74-2.81
Ir3 0.0000 0.4560 0.7863 x4  5 In 2.73-2.84

* E: -217.34 eV for the cell shown
* DOS(E_F): 20.1 states/eV/cell
* E_form: -0.46 eV/atom